LiCoS2Cl | GGA-PBE | relaxed

- formation energy from raw total energies (eV/atom) = -0.27

Cell lengths 4.3177, 4.3177, 5.5991 Å; angles 90.00, 90.00, 90.00 degrees
Space group P4/mmm (No. 123)
One atom of each set of equivalent atoms:
Li  0.0000  0.0000  0.0000 x1
Co  0.5000  0.5000  0.5000 x1
S  0.0000  0.5000  0.5000 x2
Cl  0.5000  0.5000  0.0000 x1